# PrPuPb | the Alexandria database | GGA-PBE | relaxed
# Density of states at the Fermi level = 20.8 states/eV/cell
# Formation energy = -13 kJ per mole of atoms
# Energy above the most stable polymorph in this dataset = 0.164 eV/atom
# E_tot = -7.741 eV/atom
# M_tot = 2.280 μB/atom
data_PrPuPb
_chemical_formula_sum 'Pr2 Pu2 Pb2'
_space_group_name_H-M_alt 'I 4 m m'
_space_group_IT_number 107
_space_group_name_Hall 'I 4 -2'
_cell_length_a 4.199
_cell_length_b 4.199
_cell_length_c 10.252
_cell_angle_alpha 90.00
_cell_angle_beta 90.00
_cell_angle_gamma 90.00
loop_
_atom_site_label
_atom_site_fract_x
_atom_site_fract_y
_atom_site_fract_z
Pr1 0.000 0.000 0.000
Pu1 0.000 0.000 0.312
Pb1 0.000 0.000 0.656